BaNbH: optimized geometry, PBE-GGA.

```
BaNbH
1.0
-1.986 -0.326 -2.780
2.886 -5.650 -1.695
-5.810 0.578 4.672
H Nb Ba
2 2 2
Direct
0.949 0.585 0.796
0.949 0.909 0.457
0.884 0.247 0.535
0.178 0.247 0.268
0.471 0.850 0.703
0.471 0.644 0.100
```

Values from the calculation:
Space group = No. 8
E_tot = -0.17944 Ha/atom
Size of the total moment = 0.00 μB/f.u.
Mass density = 5.6 g/cm³

=====

K2Rb5Ag: optimized geometry, PBE-GGA.

```
K2Rb5Ag
1.0
-9.134 3.281 -2.177
-5.120 -11.022 4.974
-7.363 -1.913 5.497
Rb Ag K
5 1 2
Direct
0.170 0.781 0.089
0.714 0.163 0.131
0.168 0.128 0.093
0.465 0.487 0.027
0.710 0.703 0.137
0.019 0.085 0.829
0.192 0.672 0.657
0.785 0.204 0.590
```

Values from the calculation:
Space group = No. 1
Size of the total moment = 0.00 μB/f.u.
Mass density = 1.7 g/cm³
DFT formation energy = 0.06 eV/atom

=====

AgH: optimized geometry, PBE-GGA.

```
AgH
1.0
-2.333 -1.824 3.247
3.502 -2.376 1.182
1.265 3.215 2.715
H Ag
4 4
Direct
0.000 0.000 0.000
0.000 0.500 0.500
0.500 0.500 0.000
0.500 0.000 0.500
0.500 0.500 0.500
0.000 0.000 0.500
0.000 0.500 0.000
0.500 0.000 0.000
```

Values from the calculation:
Space group = No. 225
E_tot = -0.10026 Ha/atom
Size of the total moment = 0.00 μB/f.u.
Mass density = 8.5 g/cm³

=====

TaPH2: optimized geometry, PBE-GGA.

```
TaPH2
1.0
-3.927 2.283 0.266
0.131 -0.304 4.538
0.146 4.486 2.577
H Ta P
4 2 2
Direct
0.875 0.913 0.750
0.663 0.125 0.250
0.375 0.337 0.750
0.087 0.625 0.250
0.750 0.250 0.500
0.000 0.000 0.000
0.250 0.750 0.500
0.500 0.500 0.000
```

Values from the calculation:
Space group = No. 122
E_tot = -0.20225 Ha/atom
Size of the total moment = 0.00 μB/f.u.
Mass density = 8.5 g/cm³

=====

TlZn2InNi: optimized geometry, PBE-GGA.

```
TlZn2InNi
1.0
-2.746 -1.324 3.645
3.642 -2.414 1.867
1.379 4.010 2.496
Zn Ni In Tl
2 1 1 1
Direct
0.500 0.000 0.000
0.000 0.500 0.000
0.000 0.000 0.000
0.000 0.000 0.500
0.500 0.500 0.500
```

Values from the calculation:
Space group = No. 123
Size of the total moment = 0.00 μB/f.u.
Mass density = 7.6 g/cm³
DFT formation energy = 0.06 eV/atom

=====

SnIr2Au2: optimized geometry, PBE-GGA.

```
SnIr2Au2
1.0
-7.848 -1.763 -0.236
1.272 -6.310 4.828
-0.443 1.666 2.294
Ir Au Sn
4 4 2
Direct
0.885 0.385 0.500
0.615 0.885 0.500
0.385 0.115 0.500
0.115 0.615 0.500
0.318 0.818 0.000
0.818 0.682 0.000
0.682 0.182 0.000
0.182 0.318 0.000
0.000 0.000 0.000
0.500 0.500 0.000
```

Values from the calculation:
Space group = No. 127
Size of the total moment = 0.00 μB/f.u.
Mass density = 16.0 g/cm³
DFT formation energy = 0.46 eV/atom

=====

Cd4Tc: optimized geometry, PBE-GGA.

```
Cd4Tc
1.0
-1.946 1.946 7.304
1.946 -1.946 7.304
1.946 1.946 -7.304
Tc Cd
1 4
Direct
0.000 0.000 0.000
0.408 0.408 0.000
0.592 0.592 0.000
0.250 0.750 0.500
0.750 0.250 0.500
```

Values from the calculation:
Space group = No. 139
Size of the total moment = 2.47 μB/f.u.
Mass density = 8.2 g/cm³
DFT formation energy = 0.65 eV/atom

=====

LiBrF5: optimized geometry, PBE-GGA.

```
LiBrF5
1.0
-1.051 -1.588 -4.369
2.964 -3.516 2.940
-7.891 -2.684 3.189
Br Li F
2 2 10
Direct
0.874 0.679 0.249
0.126 0.321 0.751
0.500 0.000 0.000
0.500 0.000 0.500
0.394 0.291 0.896
0.178 0.039 0.627
0.108 0.615 0.869
0.269 0.020 0.172
0.606 0.709 0.104
0.731 0.980 0.828
0.823 0.330 0.605
0.177 0.670 0.395
0.892 0.385 0.131
0.822 0.961 0.373
```

Values from the calculation:
Space group = No. 2
E_tot = -0.11906 Ha/atom
Size of the total moment = 1.00 μB/f.u.
Mass density = 2.9 g/cm³

=====

Q: Which of these has the highest size of the total moment?
A: Cd4Tc